[1]
DFT (GGA-PBE) results for crystalline AgSb2Pd6 at its relaxed geometry.

Values from the calculation:
ΔE to the lowest computed polymorph   136 kJ/mol of formula units
Space group   No. 12
Total moment   0.00 μB per formula unit
Uncorrected formation energy   -168.9 meV/atom

abc: 4.568 6.173 6.173
angles: 76.62 101.48 101.48
Atoms (fractional coordinates):
1 Pd 0.403 0.846 0.846
2 Sb 0.833 0.670 0.670
3 Pd 0.299 0.776 0.403
4 Pd 0.299 0.403 0.776
5 Ag 0.000 0.000 0.000
6 Pd 0.701 0.597 0.224
7 Pd 0.597 0.154 0.154
8 Sb 0.167 0.330 0.330
9 Pd 0.701 0.224 0.597

---

[2]
DFT (GGA-PBE) results for crystalline Ag2SbPd5 at its relaxed geometry.

Values from the calculation:
ΔE to the lowest computed polymorph   0 kJ/mol of formula units
Space group   No. 139
Total moment   0.00 μB per formula unit
Uncorrected formation energy   -238.4 meV/atom

abc: 4.150 4.150 8.239
angles: 104.59 104.59 90.00
Atoms (fractional coordinates):
1 Ag 0.749 0.749 0.498
2 Pd 0.500 0.500 0.000
3 Ag 0.251 0.251 0.502
4 Pd 0.622 0.122 0.243
5 Pd 0.122 0.622 0.243
6 Pd 0.878 0.378 0.757
7 Pd 0.378 0.878 0.757
8 Sb 0.000 0.000 0.000

---

[3]
DFT (GGA-PBE) results for crystalline AgSb2Pd2 at its relaxed geometry.

Values from the calculation:
ΔE to the lowest computed polymorph   28 kJ/mol of formula units
Space group   No. 127
Total moment   0.00 μB per formula unit
Uncorrected formation energy   -208.2 meV/atom

abc: 7.499 7.499 3.591
angles: 90.00 90.00 90.00
Atoms (fractional coordinates):
1 Ag 0.000 0.000 0.000
2 Sb 0.664 0.836 0.500
3 Pd 0.136 0.364 0.000
4 Sb 0.336 0.164 0.500
5 Pd 0.864 0.636 0.000
6 Ag 0.500 0.500 0.000
7 Pd 0.636 0.136 0.000
8 Pd 0.364 0.864 0.000
9 Sb 0.836 0.336 0.500
10 Sb 0.164 0.664 0.500

---

[4]
DFT (GGA-PBE) results for crystalline AgSb2Pd2 at its relaxed geometry.

Values from the calculation:
ΔE to the lowest computed polymorph   63 kJ/mol of formula units
Space group   No. 127
Total moment   0.00 μB per formula unit
Uncorrected formation energy   -135.4 meV/atom

abc: 7.908 7.908 3.280
angles: 90.00 90.00 90.00
Atoms (fractional coordinates):
1 Sb 0.665 0.165 0.000
2 Pd 0.131 0.631 0.500
3 Ag 0.000 0.000 0.000
4 Sb 0.335 0.835 0.000
5 Sb 0.165 0.335 0.000
6 Sb 0.835 0.665 0.000
7 Ag 0.500 0.500 0.000
8 Pd 0.369 0.131 0.500
9 Pd 0.631 0.869 0.500
10 Pd 0.869 0.369 0.500

---

[5]
DFT (GGA-PBE) results for crystalline AgSbPd6 at its relaxed geometry.

Values from the calculation:
ΔE to the lowest computed polymorph   74 kJ/mol of formula units
Space group   No. 2
Total moment   0.00 μB per formula unit
Uncorrected formation energy   -123.6 meV/atom

abc: 6.657 7.542 5.321
angles: 44.19 47.22 58.82
Atoms (fractional coordinates):
1 Pd 0.475 0.253 0.334
2 Ag 0.000 0.000 0.000
3 Pd 0.525 0.747 0.666
4 Pd 0.745 0.924 0.767
5 Pd 0.983 0.477 0.785
6 Sb 0.500 0.500 0.500
7 Pd 0.017 0.523 0.215
8 Pd 0.255 0.076 0.233

---

[6]
DFT (GGA-PBE) results for crystalline AgSb2Pd2 at its relaxed geometry.

Values from the calculation:
ΔE to the lowest computed polymorph   0 kJ/mol of formula units
Space group   No. 2
Total moment   0.00 μB per formula unit
Uncorrected formation energy   -265.6 meV/atom

abc: 4.890 7.666 7.056
angles: 96.69 69.33 63.34
Atoms (fractional coordinates):
1 Ag 0.000 0.750 0.250
2 Pd 0.314 0.310 0.999
3 Sb 0.638 0.413 0.222
4 Sb 0.638 0.913 0.722
5 Pd 0.313 0.810 0.499
6 Sb 0.362 0.587 0.778
7 Sb 0.362 0.087 0.278
8 Ag 0.000 0.250 0.750
9 Pd 0.686 0.690 0.001
10 Pd 0.687 0.190 0.501

---

[7]
DFT (GGA-PBE) results for crystalline Ag5SbPd6 at its relaxed geometry.

Values from the calculation:
Space group   No. 71
Total moment   0.00 μB per formula unit
Uncorrected formation energy   -172.0 meV/atom

abc: 4.346 7.683 7.683
angles: 113.12 106.43 106.43
Atoms (fractional coordinates):
1 Ag 0.000 0.341 0.659
2 Pd 0.765 0.604 0.925
3 Pd 0.235 0.075 0.396
4 Pd 0.235 0.396 0.075
5 Ag 0.500 0.185 0.815
6 Pd 0.765 0.925 0.604
7 Pd 0.725 0.225 0.225
8 Ag 0.500 0.815 0.185
9 Sb 0.000 0.000 0.000
10 Ag 0.500 0.500 0.500
11 Ag 0.000 0.659 0.341
12 Pd 0.275 0.775 0.775

---

[8]
DFT (GGA-PBE) results for crystalline AgSb2Pd8 at its relaxed geometry.

Values from the calculation:
ΔE to the lowest computed polymorph   0 kJ/mol of formula units
Space group   No. 71
Total moment   0.00 μB per formula unit
Uncorrected formation energy   -308.5 meV/atom

abc: 4.196 7.389 7.400
angles: 119.96 106.47 90.00
Atoms (fractional coordinates):
1 Pd 0.339 0.110 0.678
2 Pd 0.000 0.705 0.000
3 Sb 0.815 0.315 0.630
4 Pd 0.661 0.432 0.322
5 Pd 0.849 0.849 0.698
6 Pd 0.661 0.890 0.322
7 Pd 0.151 0.151 0.302
8 Pd 0.000 0.295 0.000
9 Ag 0.500 0.000 0.000
10 Pd 0.339 0.568 0.678
11 Sb 0.185 0.685 0.370